{
  "formula": "Sm6Y3Ho2Sc",
  "functional": "PBE",
  "state": "optimized geometry",
  "magnetic_moment_mub_per_atom": 0.000,
  "e_form_ev_per_fu": 0.3,
  "dos_at_fermi_per_ev_fu": 15.0,
  "volume_a3_per_fu": 383.4,
  "lattice": [[3.0962, -5.3609, 0.0000], [3.0962, 5.3609, 0.0000], [-2.0570, 0.0000, 11.5507]],
  "species": ["Sm", "Sm", "Sm", "Sm", "Sm", "Sm", "Y", "Y", "Y", "Ho", "Ho", "Sc"],
  "fractional_positions": [[0.0818, 0.4125, 0.2460], [0.2490, 0.2490, 0.7537], [0.4125, 0.0818, 0.2460], [0.5875, 0.9182, 0.7540], [0.7510, 0.7510, 0.2463], [0.9182, 0.5875, 0.7540], [0.1666, 0.8334, 0.5000], [0.5000, 0.5000, 0.5000], [0.8334, 0.1666, 0.5000], [0.3334, 0.6666, 0.0000], [0.6666, 0.3334, 0.0000], [0.0000, 0.0000, 0.0000]]
}



{
  "formula": "SrLiAl2H8",
  "functional": "PBE",
  "state": "optimized geometry",
  "magnetic_moment_mub_per_atom": 0.000,
  "dos_at_fermi_per_ev_fu": 2.3,
  "volume_a3_per_fu": 123.9,
  "lattice": [[2.3629, 1.3642, 6.4082], [-2.3629, 1.3642, 6.4082], [0.0000, -2.7284, 6.4082]],
  "species": ["Sr", "Li", "Al", "Al", "H", "H", "H", "H", "H", "H", "H", "H"],
  "fractional_positions": [[0.0000, 0.0000, 0.0000], [0.5000, 0.5000, 0.5000], [0.2320, 0.2320, 0.2320], [0.7680, 0.7680, 0.7680], [0.1163, 0.8009, 0.4192], [0.1991, 0.5808, 0.8837], [0.3204, 0.3204, 0.3204], [0.4192, 0.1163, 0.8009], [0.5808, 0.8837, 0.1991], [0.6796, 0.6796, 0.6796], [0.8009, 0.4192, 0.1163], [0.8837, 0.1991, 0.5808]]
}



{
  "formula": "FeCoIN2",
  "functional": "PBE",
  "state": "optimized geometry",
  "magnetic_moment_mub_per_atom": 0.345,
  "dos_at_fermi_per_ev_fu": 3.9,
  "volume_a3_per_fu": 81.6,
  "raw_formation_energy_ev_per_atom": 1.12,
  "polymorph_energy_mev_per_atom": 0,
  "lattice": [[3.5736, 0.0000, 0.0000], [0.0000, 3.5736, 0.0000], [0.0000, 0.0000, 6.3900]],
  "species": ["Fe", "Co", "I", "N", "N"],
  "fractional_positions": [[0.0000, 0.0000, 0.0000], [0.5000, 0.5000, 0.5000], [0.0000, 0.0000, 0.5000], [0.0000, 0.5000, 0.0000], [0.5000, 0.0000, 0.0000]]
}



Number 1: total DFT energy (no corrections) -0.38521 Ry/atom. Number 2: total DFT energy (no corrections) -0.24118 Ry/atom. Number 3: total DFT energy (no corrections) -0.41439 Ry/atom.